[1]
Density functional theory data (PBE-GGA) for Na3TbNp2S6 after structural relaxation.

```
data_Na3TbNp2S6
_chemical_formula_sum 'Na6 Tb2 Np4 S12'
_space_group_name_H-M_alt 'C 1 2/m 1'
_space_group_IT_number 12
_space_group_name_Hall '-C 2y'
_cell_length_a 6.950
_cell_length_b 12.039
_cell_length_c 7.060
_cell_angle_alpha 90.00
_cell_angle_beta 109.16
_cell_angle_gamma 90.00
loop_
_atom_site_label
_atom_site_fract_x
_atom_site_fract_y
_atom_site_fract_z
_atom_site_occupancy
Na1 0.000 0.000 0.000 1
Na2 0.000 0.334 0.000 1
Tb1 0.000 0.500 0.500 1
Np1 0.000 0.167 0.500 1
S1 0.242 0.000 0.728 1
S2 0.243 0.333 0.728 1
```

=====

[2]
Density functional theory data (PBE-GGA) for Na2Tb2NpS6 after structural relaxation.

```
data_Na2Tb2NpS6
_chemical_formula_sum 'Na4 Tb4 Np2 S12'
_space_group_name_H-M_alt 'C 1 2/m 1'
_space_group_IT_number 12
_space_group_name_Hall '-C 2y'
_cell_length_a 6.949
_cell_length_b 11.986
_cell_length_c 7.106
_cell_angle_alpha 90.00
_cell_angle_beta 108.91
_cell_angle_gamma 90.00
loop_
_atom_site_label
_atom_site_fract_x
_atom_site_fract_y
_atom_site_fract_z
_atom_site_occupancy
Na1 0.000 0.169 0.000 1
Tb1 0.000 0.334 0.500 1
Np1 0.000 0.000 0.500 1
S1 0.235 0.166 0.720 1
S2 0.249 0.000 0.280 1
```

=====

[3]
Density functional theory data (PBE-GGA) for NaTbNp2S4 after structural relaxation.

```
data_NaTbNp2S4
_chemical_formula_sum 'Na1 Tb1 Np2 S4'
_space_group_name_H-M_alt 'P 1 2/m 1'
_space_group_IT_number 10
_space_group_name_Hall '-P 2y'
_cell_length_a 6.833
_cell_length_b 3.947
_cell_length_c 6.853
_cell_angle_alpha 90.00
_cell_angle_beta 109.43
_cell_angle_gamma 90.00
loop_
_atom_site_label
_atom_site_fract_x
_atom_site_fract_y
_atom_site_fract_z
_atom_site_occupancy
Na1 0.000 0.000 0.000 1
Tb1 0.000 0.500 0.500 1
Np1 0.500 0.000 0.500 1
Np2 0.500 0.500 0.000 1
S1 0.252 0.000 0.749 1
S2 0.256 0.500 0.256 1
```

=====

[4]
Density functional theory data (PBE-GGA) for Na3Tb3NpS8 after structural relaxation.

```
data_Na3Tb3NpS8
_chemical_formula_sum 'Na9 Tb9 Np3 S24'
_space_group_name_H-M_alt 'R -3 m'
_space_group_IT_number 166
_space_group_name_Hall '-R 3 2"'
_cell_length_a 8.0173
_cell_length_b 8.0173
_cell_length_c 20.1129
_cell_angle_alpha 90.00
_cell_angle_beta 90.00
_cell_angle_gamma 120.00
loop_
_atom_site_label
_atom_site_fract_x
_atom_site_fract_y
_atom_site_fract_z
_atom_site_occupancy
Na1 0.0000 0.5000 0.0000 1
Tb1 0.0000 0.5000 0.5000 1
Np1 0.0000 0.0000 0.5000 1
S1 0.0000 0.0000 0.2424 1
S2 0.0069 0.5035 0.2400 1
```

=====

[5]
Density functional theory data (PBE-GGA) for Na3Np3TeS8 after structural relaxation.

```
data_Na3Np3TeS8
_chemical_formula_sum 'Na6 Np6 Te2 S16'
_space_group_name_H-M_alt 'C 1 2/m 1'
_space_group_IT_number 12
_space_group_name_Hall '-C 2y'
_cell_length_a 14.193
_cell_length_b 7.939
_cell_length_c 8.055
_cell_angle_alpha 90.00
_cell_angle_beta 124.28
_cell_angle_gamma 90.00
loop_
_atom_site_label
_atom_site_fract_x
_atom_site_fract_y
_atom_site_fract_z
_atom_site_occupancy
Na1 0.000 0.000 0.000 1
Na2 0.250 0.250 0.500 1
Np1 0.000 0.500 0.500 1
Np2 0.250 0.250 0.000 1
Te1 0.000 0.000 0.500 1
S1 0.012 0.246 0.741 1
S2 0.208 0.500 0.169 1
S3 0.240 0.500 0.749 1
```

=====

[6]
Density functional theory data (PBE-GGA) for NaNpTeS after structural relaxation.

```
data_NaNpTeS
_chemical_formula_sum 'Na3 Np3 Te3 S3'
_space_group_name_H-M_alt 'R 3 m'
_space_group_IT_number 160
_space_group_name_Hall 'R 3 -2"'
_cell_length_a 4.2036
_cell_length_b 4.2036
_cell_length_c 21.4775
_cell_angle_alpha 90.00
_cell_angle_beta 90.00
_cell_angle_gamma 120.00
loop_
_atom_site_label
_atom_site_fract_x
_atom_site_fract_y
_atom_site_fract_z
_atom_site_occupancy
Na1 0.0000 0.0000 0.0000 1
Np1 0.0000 0.0000 0.5194 1
Te1 0.0000 0.0000 0.7628 1
S1 0.0000 0.0000 0.2489 1
```

=====

The evaluated formation energy without anion corrections for the records listed, in turn: -1507 -1664 -1526 -1715 -1040 -1065 meV/atom.
The evaluated raw total energy for the records listed, in turn: -154.63 -135.81 -60.55 -268.59 -189.08 -77.36 eV/cell.
The evaluated theoretical density for the records listed, in turn: 5323 4705 7471 4624 5155 6361 kg/m³.